# 1
A relaxed Tl3FeRh2Se6 crystal, computed with PBE.

a b c (Å): 6.618 6.618 7.631
angles (deg): 98.23 98.23 119.98
Fractional positions:
Tl  0.000  0.000  0.000
Tl  0.333  0.667  0.000
Tl  0.667  0.333  0.000
Fe  0.500  0.500  0.500
Rh  0.167  0.833  0.500
Rh  0.833  0.167  0.500
Se  0.108  0.442  0.326
Se  0.224  0.224  0.670
Se  0.442  0.108  0.326
Se  0.558  0.892  0.674
Se  0.776  0.776  0.330
Se  0.892  0.558  0.674

- raw formation energy (meV/atom) = -316

***

# 2
A relaxed LiCa2Sc3Se6 crystal, computed with PBE.

a b c (Å): 6.826 6.826 7.036
angles (deg): 99.31 99.31 120.02
Fractional positions:
Li  0.000  0.000  0.000
Ca  0.334  0.666  0.000
Ca  0.666  0.334  0.000
Sc  0.169  0.831  0.500
Sc  0.500  0.500  0.500
Sc  0.831  0.169  0.500
Se  0.088  0.414  0.265
Se  0.237  0.237  0.735
Se  0.414  0.088  0.265
Se  0.586  0.912  0.735
Se  0.763  0.763  0.265
Se  0.912  0.586  0.735

- raw formation energy (meV/atom) = -1733

***

# 3
A relaxed CrNi2H2 crystal, computed with PBE.

a b c (Å): 6.173 6.173 6.173
angles (deg): 156.07 156.07 34.10
Fractional positions:
Cr  0.000  0.000  0.000
Ni  0.347  0.347  0.000
Ni  0.653  0.653  0.000
H  0.250  0.750  0.500
H  0.750  0.250  0.500

- offset from the most stable computed form (meV per atom) = 102

***

no.,total DFT energy (no corrections) (eV per atom),calculated density (kg/m3),calculated volume (A^3/atom)
1,-4.581,8073,23.1
2,-5.551,4301,22.4
3,-5.483,7363,7.7